This record from Alexandria describes a relaxed structure of Pr3Se2. The functional is PBE.

Calculated values
Space group: R-3c (167)
ρ (g cm⁻³): 6.1
ΔE_f (raw) (kJ per mole of atoms): -131.5
Distance to the lowest polymorph of the same formula (meV per atom): 41.2
Calculated volume (Å³ per atom): 31.58
Magnetic moment (μB/f.u.): 0.000
VASP energy (eV per atom): -5.624

Lattice parameters (Å, degrees): 8.0357 8.0357 8.0357 54.03 54.03 54.03
Element x y z (fractional)
Pr 0.0811 0.7500 0.4189
Pr 0.2500 0.5811 0.9189
Pr 0.4189 0.0811 0.7500
Pr 0.5811 0.9189 0.2500
Pr 0.7500 0.4189 0.0811
Pr 0.9189 0.2500 0.5811
Se 0.1630 0.1630 0.1630
Se 0.3370 0.3370 0.3370
Se 0.6630 0.6630 0.6630
Se 0.8370 0.8370 0.8370

---

This record from Alexandria describes a relaxed structure of Pr4Se. The functional is PBE.

Calculated values
Space group: Pm-3m (221)
ρ (g cm⁻³): 5.7
ΔE_f (raw) (kJ per mole of atoms): -49.9
Calculated volume (Å³ per atom): 37.40
Magnetic moment (μB/f.u.): 0.000
VASP energy (eV per atom): -5.037

Lattice parameters (Å, degrees): 5.7187 5.7187 5.7187 90.00 90.00 90.00
Element x y z (fractional)
Pr 0.0000 0.0000 0.0000
Pr 0.0000 0.5000 0.5000
Pr 0.5000 0.0000 0.5000
Pr 0.5000 0.5000 0.0000
Se 0.5000 0.5000 0.5000

---

- ΔE_f (raw) of number 1 (Pr3Se2)?
  -131.5 kJ per mole of atoms

---

- Number 1 is which compound?
  Pr3Se2

---

- Look up the calculated volume of the second one.
  37.40 Å³ per atom

---

- Which of these has the highest ρ?
  Pr3Se2